Record 1
The following is a GGA-PBE calculation of a relaxed structure of KHo2Pb3Se6, from the Alexandria database.

The structure in POSCAR format:
```
KHo2Pb3Se6
1.0
4.120 0.000 0.000
0.000 9.347 0.515
-2.060 -2.498 9.014
Se Ho Pb K
6 2 3 1
direct
0.671 0.556 0.342
0.329 0.444 0.658
0.015 0.270 0.030
0.985 0.730 0.970
0.680 0.129 0.361
0.320 0.871 0.639
0.832 0.663 0.664
0.168 0.337 0.336
0.841 0.167 0.681
0.159 0.833 0.319
0.500 0.500 0.000
0.500 0.000 0.000
```

Values from the calculation:
Magnetic moment   0.0 Bohr magnetons per cell
Uncorrected formation energy   -1.10 eV per atom
DOS at the Fermi energy   3.4 states/eV/cell
Raw total energy   -55.469 eV/cell
Volume   29.37 Å³ per atom

---

Record 2
The following is a GGA-PBE calculation of a relaxed structure of KHo2Te6Pb3, from the Alexandria database.

The structure in POSCAR format:
```
KHo2Te6Pb3
1.0
4.448 0.000 0.000
0.000 9.623 0.465
-2.224 -2.632 9.602
Ho K Te Pb
2 1 6 3
direct
0.832 0.659 0.663
0.168 0.341 0.337
0.500 0.000 0.000
0.330 0.429 0.659
0.321 0.881 0.641
0.987 0.731 0.974
0.670 0.571 0.341
0.013 0.269 0.026
0.679 0.119 0.359
0.843 0.159 0.685
0.157 0.841 0.315
0.500 0.500 0.000
```

Values from the calculation:
Magnetic moment   0.0 Bohr magnetons per cell
Uncorrected formation energy   -0.80 eV per atom
DOS at the Fermi energy   4.6 states/eV/cell
Raw total energy   -49.860 eV/cell
Volume   34.70 Å³ per atom

---

Record 3
The following is a GGA-PBE calculation of a relaxed structure of KHoTe3Pb, from the Alexandria database.

The structure in POSCAR format:
```
KHoTe3Pb
1.0
4.459 0.000 0.000
0.000 8.367 -1.239
0.000 -3.691 12.493
Te K Ho Pb
6 2 2 2
direct
0.250 0.509 0.366
0.750 0.329 0.053
0.750 0.491 0.634
0.250 0.671 0.947
0.750 0.883 0.282
0.250 0.117 0.718
0.750 0.905 0.839
0.250 0.095 0.161
0.750 0.395 0.836
0.250 0.605 0.164
0.250 0.235 0.517
0.750 0.765 0.483
```

Values from the calculation:
Magnetic moment   0.0 Bohr magnetons per cell
Uncorrected formation energy   -1.01 eV per atom
Raw total energy   -49.772 eV/cell
Volume   37.14 Å³ per atom

---

Record 4
The following is a GGA-PBE calculation of a relaxed structure of KPmHo4S8, from the Alexandria database.

The structure in POSCAR format:
```
KPmHo4S8
1.0
-4.366 -6.640 1.939
1.960 -7.264 -3.210
3.353 -5.834 4.826
S Ho K Pm
8 4 1 1
direct
0.239 0.798 0.725
0.754 0.754 0.262
0.798 0.239 0.725
0.230 0.754 0.262
0.232 0.232 0.303
0.239 0.239 0.725
0.754 0.230 0.262
0.757 0.757 0.728
0.487 0.004 0.504
0.004 0.487 0.504
0.626 0.626 0.123
0.004 0.004 0.504
0.372 0.372 0.884
0.004 0.004 0.987
```

Values from the calculation:
Magnetic moment   0.0 Bohr magnetons per cell
Uncorrected formation energy   -1.93 eV per atom
DOS at the Fermi energy   0.0 states/eV/cell
Raw total energy   -84.146 eV/cell
Volume   28.15 Å³ per atom

---

Record 5
The following is a GGA-PBE calculation of a relaxed structure of K3Pm2HoS6, from the Alexandria database.

The structure in POSCAR format:
```
K3Pm2HoS6
1.0
7.139 -0.001 0.000
-3.569 6.183 0.000
-1.191 -2.062 7.386
K S Pm Ho
3 6 2 1
direct
0.833 0.167 0.500
0.167 0.833 0.500
0.500 0.500 0.500
0.932 0.606 0.796
0.258 0.258 0.796
0.606 0.932 0.796
0.394 0.068 0.204
0.068 0.394 0.204
0.742 0.742 0.204
0.333 0.667 0.000
0.667 0.333 0.000
0.000 0.000 0.000
```

Values from the calculation:
Magnetic moment   0.0 Bohr magnetons per cell
Uncorrected formation energy   -1.87 eV per atom
DOS at the Fermi energy   0.0 states/eV/cell
Raw total energy   -64.571 eV/cell
Volume   27.17 Å³ per atom

---

Record 6
The following is a GGA-PBE calculation of a relaxed structure of K3PmHo2S6, from the Alexandria database.

The structure in POSCAR format:
```
K3PmHo2S6
1.0
-1.759 -6.561 -1.936
6.281 1.238 2.984
-4.441 0.594 6.315
K Ho S Pm
3 2 6 1
direct
0.834 0.166 0.500
0.166 0.834 0.500
0.500 0.500 0.500
0.667 0.333 0.000
0.333 0.667 0.000
0.408 0.068 0.203
0.932 0.592 0.797
0.727 0.727 0.203
0.273 0.273 0.797
0.068 0.408 0.203
0.592 0.932 0.797
0.000 0.000 0.000
```

Values from the calculation:
Magnetic moment   0.0 Bohr magnetons per cell
Uncorrected formation energy   -1.88 eV per atom
DOS at the Fermi energy   0.0 states/eV/cell
Raw total energy   -64.507 eV/cell
Volume   26.56 Å³ per atom

---

Record 7
The following is a GGA-PBE calculation of a relaxed structure of KPm2Ho3Se6, from the Alexandria database.

The structure in POSCAR format:
```
KPm2Ho3Se6
1.0
4.109 0.000 0.000
0.000 8.503 0.222
-2.054 -2.535 8.810
Se Ho Pm K
6 3 2 1
direct
0.326 0.922 0.652
0.674 0.078 0.348
0.001 0.731 0.001
0.661 0.592 0.323
0.339 0.408 0.677
0.999 0.269 0.999
0.835 0.175 0.670
0.165 0.825 0.330
0.500 0.500 0.000
0.172 0.348 0.345
0.828 0.652 0.655
0.500 0.000 0.000
```

Values from the calculation:
Magnetic moment   0.0 Bohr magnetons per cell
Uncorrected formation energy   -1.75 eV per atom
DOS at the Fermi energy   3.4 states/eV/cell
Raw total energy   -66.261 eV/cell
Volume   25.84 Å³ per atom

---

Record 8
The following is a GGA-PBE calculation of a relaxed structure of K3PmHo2Se6, from the Alexandria database.

The structure in POSCAR format:
```
K3PmHo2Se6
1.0
7.340 -0.002 0.000
-3.670 6.357 0.000
-1.224 -2.119 7.688
Se K Pm Ho
6 3 1 2
direct
0.272 0.272 0.794
0.069 0.409 0.206
0.591 0.931 0.794
0.728 0.728 0.206
0.409 0.069 0.206
0.931 0.591 0.794
0.835 0.165 0.500
0.165 0.835 0.500
0.500 0.500 0.500
0.000 0.000 0.000
0.333 0.667 0.000
0.667 0.333 0.000
```

Values from the calculation:
Magnetic moment   0.0 Bohr magnetons per cell
Uncorrected formation energy   -1.76 eV per atom
DOS at the Fermi energy   0.0 states/eV/cell
Raw total energy   -59.214 eV/cell
Volume   29.89 Å³ per atom

---

Record 9
The following is a GGA-PBE calculation of a relaxed structure of KPmHo2Se4, from the Alexandria database.

The structure in POSCAR format:
```
KPmHo2Se4
1.0
4.117 0.000 0.000
0.000 7.356 -0.228
0.000 2.509 6.848
Se Ho K Pm
4 2 1 1
direct
0.000 0.767 0.749
0.000 0.233 0.251
0.500 0.226 0.766
0.500 0.774 0.234
0.500 0.000 0.500
0.000 0.000 0.000
0.000 0.500 0.500
0.500 0.500 0.000
```

Values from the calculation:
Magnetic moment   0.0 Bohr magnetons per cell
Uncorrected formation energy   -1.72 eV per atom
DOS at the Fermi energy   2.7 states/eV/cell
Raw total energy   -42.732 eV/cell
Volume   26.22 Å³ per atom

---

Record 10
The following is a GGA-PBE calculation of a relaxed structure of K2PmHoSe4, from the Alexandria database.

The structure in POSCAR format:
```
K2PmHoSe4
1.0
4.259 0.000 0.000
0.000 7.376 0.126
0.000 -2.588 7.650
Ho K Se Pm
1 2 4 1
direct
0.000 0.000 0.000
0.500 0.000 0.500
0.000 0.500 0.500
0.000 0.743 0.208
0.500 0.771 0.795
0.500 0.229 0.205
0.000 0.257 0.792
0.500 0.500 0.000
```

Values from the calculation:
Magnetic moment   0.0 Bohr magnetons per cell
Uncorrected formation energy   -1.76 eV per atom
DOS at the Fermi energy   0.0 states/eV/cell
Raw total energy   -39.521 eV/cell
Volume   30.21 Å³ per atom